Entry 1:
A plane-wave DFT calculation with PBE+U was carried out for an optimized crystal structure of Cs4U2V2O13.

a = 8.5204 Å, b = 13.8209 Å, c = 7.3988 Å
α = 90.00°, β = 90.00°, γ = 90.00°
With the nearest neighbours (Å) after each atom.
Fractional positions:
Cs: 0.2500 0.0547 0.0195  8 O 3.18-3.41
Cs: 0.2500 0.2500 0.6333  12 O 3.26-3.51
Cs: 0.2500 0.4453 0.0195  8 O 3.18-3.41
Cs: 0.2500 0.7500 0.2524  7 O 3.17-3.30
Cs: 0.7500 0.2500 0.7476  7 O 3.17-3.30
Cs: 0.7500 0.5547 0.9805  8 O 3.18-3.41
Cs: 0.7500 0.7500 0.3667  12 O 3.26-3.51
Cs: 0.7500 0.9453 0.9805  8 O 3.18-3.41
U: 0.0000 0.0000 0.5000  2 O 1.89
U: 0.0000 0.5000 0.5000  2 O 1.89
U: 0.5000 0.0000 0.5000  2 O 1.89
U: 0.5000 0.5000 0.5000  2 O 1.89
V: 0.0403 0.7500 0.7768  4 O 1.68-1.82
V: 0.4597 0.7500 0.7768  4 O 1.68-1.82
V: 0.5403 0.2500 0.2232  4 O 1.68-1.82
V: 0.9597 0.2500 0.2232  4 O 1.68-1.82
O: 0.0118 0.1474 0.3461  1 V 1.74
O: 0.0118 0.3526 0.3461  1 V 1.74
O: 0.0263 0.5671 0.2803  1 U 1.89
O: 0.0263 0.9329 0.2803  1 U 1.89
O: 0.0534 0.2500 0.0239  1 V 1.68
O: 0.2500 0.0089 0.5352  2 U 2.15
O: 0.2500 0.4911 0.5352  2 U 2.15
O: 0.2500 0.7500 0.8245  2 V 1.82
O: 0.4466 0.2500 0.0239  1 V 1.68
O: 0.4737 0.5671 0.2803  1 U 1.89
O: 0.4737 0.9329 0.2803  1 U 1.89
O: 0.4882 0.1474 0.3461  1 V 1.74
O: 0.4882 0.3526 0.3461  1 V 1.74
O: 0.5118 0.6474 0.6539  1 V 1.74
O: 0.5118 0.8526 0.6539  1 V 1.74
O: 0.5263 0.0671 0.7197  1 U 1.89
O: 0.5263 0.4329 0.7197  1 U 1.89
O: 0.5534 0.7500 0.9761  1 V 1.68
O: 0.7500 0.2500 0.1755  2 V 1.82
O: 0.7500 0.5089 0.4648  2 U 2.15
O: 0.7500 0.9911 0.4648  2 U 2.15
O: 0.9466 0.7500 0.9761  1 V 1.68
O: 0.9737 0.0671 0.7197  1 U 1.89
O: 0.9737 0.4329 0.7197  1 U 1.89
O: 0.9882 0.6474 0.6539  1 V 1.74
O: 0.9882 0.8526 0.6539  1 V 1.74

Properties
mass density	5.0	g/cm3
space group	No. 59
energy	-7.497	eV per atom

=====

Entry 2:
A plane-wave DFT calculation with PBE+U was carried out for an optimized crystal structure of Cs2UV3O12.

a = 7.4981 Å, b = 7.4981 Å, c = 7.4981 Å
α = 56.85°, β = 56.85°, γ = 56.85°
With the nearest neighbours (Å) after each atom.
Fractional positions:
Cs: 0.1135 0.1135 0.1135  9 O 3.21-3.53
Cs: 0.8865 0.8865 0.8865  9 O 3.21-3.53
U: 0.5000 0.5000 0.5000  6 O 2.06
V: 0.0000 0.5000 0.5000  6 O 1.87-1.94
V: 0.5000 0.0000 0.5000  6 O 1.87-1.94
V: 0.5000 0.5000 0.0000  6 O 1.87-1.94
O: 0.1672 0.5673 0.5673  1 V 1.94, 1 U 2.06
O: 0.1972 0.1972 0.5651  2 V 1.87
O: 0.1972 0.5651 0.1972  2 V 1.87
O: 0.4327 0.4327 0.8328  1 V 1.94, 1 U 2.06
O: 0.4327 0.8328 0.4327  1 V 1.94, 1 U 2.06
O: 0.4349 0.8028 0.8028  2 V 1.87
O: 0.5651 0.1972 0.1972  2 V 1.87
O: 0.5673 0.1672 0.5673  1 V 1.94, 1 U 2.06
O: 0.5673 0.5673 0.1672  1 V 1.94, 1 U 2.06
O: 0.8028 0.4349 0.8028  2 V 1.87
O: 0.8028 0.8028 0.4349  2 V 1.87
O: 0.8328 0.4327 0.4327  1 V 1.94, 1 U 2.06

Properties
mass density	5.1	g/cm3
space group	No. 166
energy	-7.326	eV per atom

=====

Entry 3:
A plane-wave DFT calculation with PBE+U was carried out for an optimized crystal structure of Cs2U3VO12.

a = 7.5580 Å, b = 7.5580 Å, c = 7.5580 Å
α = 63.21°, β = 63.21°, γ = 63.21°
With the nearest neighbours (Å) after each atom.
Fractional positions:
Cs: 0.1273 0.1273 0.1273  9 O 3.34-3.66
Cs: 0.8727 0.8727 0.8727  9 O 3.34-3.66
U: 0.0000 0.5000 0.5000  6 O 2.02-2.13
U: 0.5000 0.0000 0.5000  6 O 2.02-2.13
U: 0.5000 0.5000 0.0000  6 O 2.02-2.13
V: 0.5000 0.5000 0.5000  6 O 1.95
O: 0.1778 0.1778 0.5603  2 U 2.13
O: 0.1778 0.5603 0.1778  2 U 2.13
O: 0.2045 0.5553 0.5553  1 V 1.95, 1 U 2.02
O: 0.4397 0.8222 0.8222  2 U 2.13
O: 0.4447 0.4447 0.7955  1 V 1.95, 1 U 2.02
O: 0.4447 0.7955 0.4447  1 V 1.95, 1 U 2.02
O: 0.5553 0.2045 0.5553  1 V 1.95, 1 U 2.02
O: 0.5553 0.5553 0.2045  1 V 1.95, 1 U 2.02
O: 0.5603 0.1778 0.1778  2 U 2.13
O: 0.7955 0.4447 0.4447  1 V 1.95, 1 U 2.02
O: 0.8222 0.4397 0.8222  2 U 2.13
O: 0.8222 0.8222 0.4397  2 U 2.13

Properties
mass density	6.2	g/cm3
space group	No. 166
energy	-8.449	eV per atom

=====

Entry 4:
A plane-wave DFT calculation with PBE+U was carried out for an optimized crystal structure of CsUV2O8.

a = 5.8985 Å, b = 5.8985 Å, c = 8.4915 Å
α = 90.00°, β = 90.00°, γ = 120.00°
With the nearest neighbours (Å) after each atom.
Fractional positions:
Cs: 0.0000 0.0000 0.0000  12 O 3.43-3.49
U: 0.0000 0.0000 0.5000  6 O 2.14
V: 0.3333 0.6667 0.7181  4 O 1.65-1.78
V: 0.6667 0.3333 0.2819  4 O 1.65-1.78
O: 0.1624 0.3372 0.6504  1 V 1.78
O: 0.1748 0.8376 0.6504  1 V 1.78
O: 0.3333 0.6667 0.9122  1 V 1.65
O: 0.3372 0.1748 0.3496  1 V 1.78
O: 0.6628 0.8252 0.6504  1 V 1.78
O: 0.6667 0.3333 0.0878  1 V 1.65
O: 0.8252 0.1624 0.3496  1 V 1.78
O: 0.8376 0.6628 0.3496  1 V 1.78

Properties
mass density	3.9	g/cm3
space group	No. 147
energy	-7.926	eV per atom

=====

Entry 5:
A plane-wave DFT calculation with PBE+U was carried out for an optimized crystal structure of Cs2U3WO12.

a = 7.7774 Å, b = 7.7774 Å, c = 7.7774 Å
α = 61.11°, β = 61.11°, γ = 61.11°
With the nearest neighbours (Å) after each atom.
Fractional positions:
Cs: 0.1264 0.1264 0.1264  6 O 3.40-3.50
Cs: 0.8736 0.8736 0.8736  6 O 3.40-3.50
U: 0.0000 0.5000 0.5000  6 O 2.12-2.15
U: 0.5000 0.0000 0.5000  6 O 2.12-2.15
U: 0.5000 0.5000 0.0000  6 O 2.12-2.15
W: 0.5000 0.5000 0.5000  6 O 1.95
O: 0.1805 0.1805 0.5632  2 U 2.12
O: 0.1805 0.5632 0.1805  2 U 2.12
O: 0.2070 0.5587 0.5587  1 W 1.95, 1 U 2.15
O: 0.4368 0.8195 0.8195  2 U 2.12
O: 0.4413 0.4413 0.7930  1 W 1.95, 1 U 2.15
O: 0.4413 0.7930 0.4413  1 W 1.95, 1 U 2.15
O: 0.5587 0.2070 0.5587  1 W 1.95, 1 U 2.15
O: 0.5587 0.5587 0.2070  1 W 1.95, 1 U 2.15
O: 0.5632 0.1805 0.1805  2 U 2.12
O: 0.7930 0.4413 0.4413  1 W 1.95, 1 U 2.15
O: 0.8195 0.4368 0.8195  2 U 2.12
O: 0.8195 0.8195 0.4368  2 U 2.12

Properties
mass density	6.6	g/cm3
space group	No. 166
energy	-8.477	eV per atom

=====

Entry 6:
A plane-wave DFT calculation with PBE+U was carried out for an optimized crystal structure of CsUWO6.

a = 7.7317 Å, b = 7.7317 Å, c = 7.7317 Å
α = 121.73°, β = 118.76°, γ = 89.60°
With the nearest neighbours (Å) after each atom.
Fractional positions:
Cs: 0.3703 0.1203 0.2500  6 O 3.36-3.54
Cs: 0.6297 0.8797 0.7500  6 O 3.36-3.54
U: 0.0000 0.5000 0.5000  6 O 2.13-2.16
U: 0.5000 0.5000 0.0000  6 O 2.13-2.16
W: 0.0000 0.0000 0.5000  6 O 1.95
W: 0.0000 0.5000 0.0000  6 O 1.95
O: 0.0481 0.7981 0.2500  2 W 1.95
O: 0.0550 0.4275 0.2234  1 W 1.95, 1 U 2.16
O: 0.0550 0.8316 0.6275  1 W 1.95, 1 U 2.16
O: 0.2959 0.1684 0.7234  1 W 1.95, 1 U 2.16
O: 0.2959 0.5725 0.1275  1 W 1.95, 1 U 2.16
O: 0.3236 0.5736 0.7500  2 U 2.13
O: 0.6764 0.4264 0.2500  2 U 2.13
O: 0.7041 0.4275 0.8725  1 W 1.95, 1 U 2.16
O: 0.7041 0.8316 0.2766  1 W 1.95, 1 U 2.16
O: 0.9450 0.1684 0.3725  1 W 1.95, 1 U 2.16
O: 0.9450 0.5725 0.7766  1 W 1.95, 1 U 2.16
O: 0.9519 0.2019 0.7500  2 W 1.95

Properties
mass density	6.6	g/cm3
space group	No. 74
energy	-8.008	eV per atom

=====

Entry 7:
A plane-wave DFT calculation with PBE+U was carried out for an optimized crystal structure of Cs2UWO6.

a = 7.2786 Å, b = 7.2786 Å, c = 7.2786 Å
α = 132.39°, β = 132.39°, γ = 69.62°
With the nearest neighbours (Å) after each atom.
Fractional positions:
Cs: 0.2500 0.7500 0.5000  4 O 3.14
Cs: 0.7500 0.2500 0.5000  4 O 3.14
U: 0.0000 0.0000 0.0000  2 O 1.89
W: 0.5000 0.5000 0.0000  4 O 1.92
O: 0.1582 0.1582 0.0000  1 U 1.89
O: 0.2687 0.2687 0.5375  1 W 1.92
O: 0.2687 0.7313 0.0000  1 W 1.92
O: 0.7313 0.2687 0.0000  1 W 1.92
O: 0.7313 0.7313 0.4625  1 W 1.92
O: 0.8418 0.8418 0.0000  1 U 1.89

Properties
mass density	6.3	g/cm3
space group	No. 139
energy	-7.356	eV per atom

=====

Entry 8:
A plane-wave DFT calculation with PBE+U was carried out for an optimized crystal structure of Cs2UW3O12.

a = 7.6683 Å, b = 7.6683 Å, c = 7.6683 Å
α = 58.20°, β = 58.20°, γ = 58.20°
With the nearest neighbours (Å) after each atom.
Fractional positions:
Cs: 0.1218 0.1218 0.1218  6 O 3.32-3.38
Cs: 0.8782 0.8782 0.8782  6 O 3.32-3.38
U: 0.5000 0.5000 0.5000  6 O 2.10
W: 0.0000 0.5000 0.5000  6 O 1.96-2.00
W: 0.5000 0.0000 0.5000  6 O 1.96-2.00
W: 0.5000 0.5000 0.0000  6 O 1.96-2.00
O: 0.1706 0.5688 0.5688  1 W 2.00, 1 U 2.10
O: 0.1941 0.1941 0.5683  2 W 1.96
O: 0.1941 0.5683 0.1941  2 W 1.96
O: 0.4312 0.4312 0.8294  1 W 2.00, 1 U 2.10
O: 0.4312 0.8294 0.4312  1 W 2.00, 1 U 2.10
O: 0.4317 0.8059 0.8059  2 W 1.96
O: 0.5683 0.1941 0.1941  2 W 1.96
O: 0.5688 0.1706 0.5688  1 W 2.00, 1 U 2.10
O: 0.5688 0.5688 0.1706  1 W 2.00, 1 U 2.10
O: 0.8059 0.4317 0.8059  2 W 1.96
O: 0.8059 0.8059 0.4317  2 W 1.96
O: 0.8294 0.4312 0.4312  1 W 2.00, 1 U 2.10

Properties
mass density	6.8	g/cm3
space group	No. 166
energy	-7.544	eV per atom